Entry 1:
First-principles (PBE) data for crystalline Pm6ZnSi3 at its relaxed geometry, as listed in Alexandria.

Calculated values
Theoretical density (kg/m³): 5914
Uncorrected formation energy (eV/atom): -0.367
Crystal system: monoclinic
Electronic total energy (eV/atom): -4.97
Symmetry: P2_1/c

Unit cell a=7.1191 b=8.0918 c=11.9111 alpha=90.00 beta=123.44 gamma=90.00
With the nearest neighbours (Å) after each atom.
Sites, in units of the cell vectors:
Pm (0.0509, 0.0864, 0.2478)  3 Si 2.86-3.02, 1 Zn 3.02
Pm (0.0509, 0.4136, 0.7478)  3 Si 2.86-3.02, 1 Zn 3.02
Pm (0.2208, 0.6833, 0.0688)  2 Si 2.88-3.11, 1 Zn 2.94
Pm (0.2208, 0.8167, 0.5688)  2 Si 2.88-3.11, 1 Zn 2.94
Pm (0.4010, 0.1705, 0.0691)  3 Si 2.85-3.16, 1 Zn 2.99
Pm (0.4010, 0.3295, 0.5691)  3 Si 2.85-3.16, 1 Zn 2.99
Pm (0.5990, 0.6705, 0.4309)  3 Si 2.85-3.16, 1 Zn 2.99
Pm (0.5990, 0.8295, 0.9309)  3 Si 2.85-3.16, 1 Zn 2.99
Pm (0.7792, 0.1833, 0.4312)  2 Si 2.88-3.11, 1 Zn 2.94
Pm (0.7792, 0.3167, 0.9312)  2 Si 2.88-3.11, 1 Zn 2.94
Pm (0.9491, 0.5864, 0.2522)  3 Si 2.86-3.02, 1 Zn 3.02
Pm (0.9491, 0.9136, 0.7522)  3 Si 2.86-3.02, 1 Zn 3.02
Zn (0.5000, 0.0000, 0.5000)  6 Pm 2.94-3.02
Zn (0.5000, 0.5000, 0.0000)  6 Pm 2.94-3.02
Si (0.0000, 0.0000, 0.0000)  6 Pm 2.85-2.88
Si (0.0000, 0.5000, 0.5000)  6 Pm 2.85-2.88
Si (0.3094, 0.1158, 0.7564)  6 Pm 3.00-3.24
Si (0.3094, 0.3842, 0.2564)  6 Pm 3.00-3.24
Si (0.6906, 0.6158, 0.7436)  6 Pm 3.00-3.24
Si (0.6906, 0.8842, 0.2436)  6 Pm 3.00-3.24

Entry 2:
First-principles (PBE) data for crystalline Pm3ZnSi3 at its relaxed geometry, as listed in Alexandria.

Calculated values
Theoretical density (kg/m³): 5043
Uncorrected formation energy (eV/atom): -0.386
Crystal system: hexagonal
Electronic total energy (eV/atom): -4.93
Symmetry: P6_3/m

Unit cell a=8.6456 b=8.6456 c=5.9484 alpha=90.00 beta=90.00 gamma=120.00
With the nearest neighbours (Å) after each atom.
Sites, in units of the cell vectors:
Pm (0.0585, 0.6974, 0.2500)  5 Si 2.94-2.98, 1 Zn 3.27
Pm (0.3026, 0.3611, 0.2500)  5 Si 2.94-2.98, 1 Zn 3.27
Pm (0.3611, 0.0585, 0.7500)  5 Si 2.94-2.98, 1 Zn 3.27
Pm (0.6389, 0.9415, 0.2500)  5 Si 2.94-2.98, 1 Zn 3.27
Pm (0.6974, 0.6389, 0.7500)  5 Si 2.94-2.98, 1 Zn 3.27
Pm (0.9415, 0.3026, 0.7500)  5 Si 2.94-2.98, 1 Zn 3.27
Zn (0.3333, 0.6667, 0.7500)  3 Si 2.47
Zn (0.6667, 0.3333, 0.2500)  3 Si 2.47
Si (0.0594, 0.6893, 0.7500)  1 Zn 2.47
Si (0.3107, 0.3702, 0.7500)  1 Zn 2.47
Si (0.3702, 0.0594, 0.2500)  1 Zn 2.47
Si (0.6298, 0.9406, 0.7500)  1 Zn 2.47
Si (0.6893, 0.6298, 0.2500)  1 Zn 2.47
Si (0.9406, 0.3107, 0.2500)  1 Zn 2.47

Entry 3:
First-principles (PBE) data for crystalline Pm3Zn3Si at its relaxed geometry, as listed in Alexandria.

Calculated values
Theoretical density (kg/m³): 6585
Uncorrected formation energy (eV/atom): -0.411
Crystal system: orthorhombic
Electronic total energy (eV/atom): -3.77
Symmetry: Imm2

Unit cell a=10.1006 b=10.1006 c=10.1006 alpha=156.72 beta=155.88 gamma=33.77
With the nearest neighbours (Å) after each atom.
Sites, in units of the cell vectors:
Pm (0.0000, 0.0000, 0.0000)  7 Zn 3.10-3.37
Pm (0.3719, 0.3719, 0.0000)  4 Zn 3.07, 2 Si 3.08
Pm (0.6959, 0.1959, 0.5000)  4 Si 3.13, 8 Zn 3.23-3.46
Zn (0.1257, 0.6257, 0.5000)  1 Si 2.45, 2 Zn 2.55
Zn (0.5515, 0.5515, 0.0000)  2 Zn 2.55
Zn (0.8257, 0.8257, 0.0000)  2 Si 2.54
Si (0.2526, 0.7526, 0.5000)  3 Zn 2.45-2.54

Entry 4:
First-principles (PBE) data for crystalline Pm4Zn2Si5 at its relaxed geometry, as listed in Alexandria.

Calculated values
Theoretical density (kg/m³): 5926
Uncorrected formation energy (eV/atom): -0.577
Crystal system: monoclinic
Electronic total energy (eV/atom): -5.00
Symmetry: P2/m

Unit cell a=6.9898 b=4.2611 c=8.0145 alpha=90.00 beta=92.13 gamma=90.00
With the nearest neighbours (Å) after each atom.
Sites, in units of the cell vectors:
Pm (0.2320, 0.0000, 0.3597)  6 Si 3.02-3.31, 4 Zn 3.25
Pm (0.2625, 0.0000, 0.8686)  8 Si 3.02-3.22, 2 Zn 3.11
Pm (0.7375, 0.0000, 0.1314)  8 Si 3.02-3.22, 2 Zn 3.11
Pm (0.7680, 0.0000, 0.6403)  6 Si 3.02-3.31, 4 Zn 3.25
Zn (0.4171, 0.5000, 0.6257)  1 Zn 2.36, 2 Si 2.41-2.43
Zn (0.5829, 0.5000, 0.3743)  1 Zn 2.36, 2 Si 2.41-2.43
Si (0.0000, 0.5000, 0.0000)  4 Si 2.86-2.96, 4 Pm 3.03
Si (0.0732, 0.5000, 0.6386)  1 Zn 2.41, 1 Si 2.41
Si (0.3925, 0.5000, 0.1147)  1 Si 2.42, 1 Zn 2.43
Si (0.6075, 0.5000, 0.8853)  1 Si 2.42, 1 Zn 2.43
Si (0.9268, 0.5000, 0.3614)  1 Zn 2.41, 1 Si 2.41